Density functional theory data (GGA-PBEsol) for a relaxed LaRh2W crystal.

Cell and atoms, written as CIF:
```
data_LaRh2W
_chemical_formula_sum 'La1 Rh2 W1'
_space_group_name_H-M_alt 'P 4/m m m'
_space_group_IT_number 123
_space_group_name_Hall '-P 4 2'
_cell_length_a 2.969
_cell_length_b 2.969
_cell_length_c 7.901
_cell_angle_alpha 90.00
_cell_angle_beta 90.00
_cell_angle_gamma 90.00
loop_
_atom_site_label
_atom_site_type_symbol
_atom_site_fract_x
_atom_site_fract_y
_atom_site_fract_z
La1 La 0.000 0.000 0.000
Rh1 Rh 0.500 0.500 0.292
W1 W 0.000 0.000 0.500
```

Summary:
electronic total energy = -9.01 eV/atom
theoretical density = 12.6 g/cm3
total magnetic moment = 0.0 μB/cell
calculated formation energy = -0.151 eV per atom
relative energy among the computed polymorphs = 0.0 kJ/mol of atoms

Density functional theory data (GGA-PBEsol) for a relaxed Ca2AlSe crystal.

Cell and atoms, written as CIF:
```
data_Ca2AlSe
_chemical_formula_sum 'Ca2 Al1 Se1'
_space_group_name_H-M_alt 'P 4/m m m'
_space_group_IT_number 123
_space_group_name_Hall '-P 4 2'
_cell_length_a 3.542
_cell_length_b 3.542
_cell_length_c 7.799
_cell_angle_alpha 90.00
_cell_angle_beta 90.00
_cell_angle_gamma 90.00
loop_
_atom_site_label
_atom_site_type_symbol
_atom_site_fract_x
_atom_site_fract_y
_atom_site_fract_z
Ca1 Ca 0.000 0.000 0.224
Al1 Al 0.500 0.500 0.500
Se1 Se 0.500 0.500 0.000
```

Summary:
electronic total energy = -3.93 eV/atom
theoretical density = 3.2 g/cm3
E_form (uncorrected) = -3.50 eV/f.u.
total magnetic moment = 0.0 μB/cell
relative energy among the computed polymorphs = 0.7 kJ/mol of atoms

Density functional theory data (GGA-PBEsol) for a relaxed CdPbAu4 crystal.

Cell and atoms, written as CIF:
```
data_CdPbAu4
_chemical_formula_sum 'Cd4 Pb4 Au16'
_space_group_name_H-M_alt 'F -4 3 m'
_space_group_IT_number 216
_space_group_name_Hall 'F -4 2 3'
_cell_length_a 7.813
_cell_length_b 7.813
_cell_length_c 7.813
_cell_angle_alpha 90.00
_cell_angle_beta 90.00
_cell_angle_gamma 90.00
loop_
_atom_site_label
_atom_site_type_symbol
_atom_site_fract_x
_atom_site_fract_y
_atom_site_fract_z
Cd1 Cd 0.000 0.000 0.000
Pb1 Pb 0.250 0.250 0.250
Au1 Au 0.125 0.125 0.625
```

Summary:
electronic total energy = -3.51 eV/atom
theoretical density = 15.4 g/cm3
total magnetic moment = 0.0 μB/cell
calculated formation energy = -0.023 eV per atom

Density functional theory data (GGA-PBEsol) for a relaxed MgAlZn2 crystal.

Cell and atoms, written as CIF:
```
data_MgAlZn2
_chemical_formula_sum 'Mg1 Al1 Zn2'
_space_group_name_H-M_alt 'P 4/m m m'
_space_group_IT_number 123
_space_group_name_Hall '-P 4 2'
_cell_length_a 2.866
_cell_length_b 2.866
_cell_length_c 7.911
_cell_angle_alpha 90.00
_cell_angle_beta 90.00
_cell_angle_gamma 90.00
loop_
_atom_site_label
_atom_site_type_symbol
_atom_site_fract_x
_atom_site_fract_y
_atom_site_fract_z
Mg1 Mg 0.000 0.000 0.000
Al1 Al 0.000 0.000 0.500
Zn1 Zn 0.500 0.500 0.261
```

Summary:
electronic total energy = -2.25 eV/atom
theoretical density = 4.7 g/cm3
total magnetic moment = 0.0 μB/cell
calculated formation energy = -0.002 eV per atom